DFT (meta-GGA SCAN) results for a crystal of BaHfIr2W relaxed with PBEsol.

```
5
Lattice="4.8044 0.0000 0.0000 0.0000 4.8044 0.0000 0.0000 0.0000 5.4094" Properties=species:S:1:pos:R:3 pbc="T T T"
Ba 0.0000 0.0000 0.0000
Hf 0.0000 0.0000 2.7047
Ir 0.0000 2.4022 2.7047
Ir 2.4022 0.0000 2.7047
W 2.4022 2.4022 0.0000
```

For the magnetization, the calculation gives 3.53 μB per cell. The formation enthalpy at 0 K comes out at 198.0 kJ per mole of atoms. Its mass density is 11.76 g cm⁻³. As for the space group: P4/mmm.

DFT (meta-GGA SCAN) results for a crystal of MoRh2 relaxed with PBEsol.

```
3
Lattice="4.2797 0.0000 0.0000 -2.1399 3.7064 0.0000 0.0000 0.0000 2.6818" Properties=species:S:1:pos:R:3 pbc="T T T"
Mo 0.0000 0.0000 0.0000
Rh 0.0000 2.4709 1.3409
Rh 2.1399 1.2355 1.3409
```

For the magnetization, the calculation gives 0.00 μB per cell. The formation enthalpy at 0 K comes out at 4.1 kJ per mole of atoms. Its mass density is 11.78 g cm⁻³. As for the space group: P6/mmm.

DFT (meta-GGA SCAN) results for a crystal of KGeOF2 relaxed with PBEsol.

```
5
Lattice="4.5003 0.0000 0.0000 0.0000 4.5003 0.0000 0.0000 0.0000 4.5027" Properties=species:S:1:pos:R:3 pbc="T T T"
K 0.0000 0.0000 0.0000
Ge 2.2502 2.2502 2.2513
O 0.0000 0.0000 2.2513
F 0.0000 2.2502 0.0000
F 2.2502 0.0000 0.0000
```

For the magnetization, the calculation gives 1.03 μB per cell. Its mass density is 3.02 g cm⁻³. As for the space group: P4/mmm. For the uncorrected formation energy, the calculation gives -0.630 eV per atom.

DFT (meta-GGA SCAN) results for a crystal of TlCu2Br relaxed with PBEsol.

```
8
Lattice="5.9712 0.0000 0.0000 0.0000 7.5010 0.0000 0.0000 0.0000 3.2782" Properties=species:S:1:pos:R:3 pbc="T T T"
Tl 0.0000 0.0000 0.0000
Tl 2.9856 3.7505 0.0000
Cu 1.4928 1.8752 1.6391
Cu 1.4928 5.6257 1.6391
Cu 4.4784 1.8752 1.6391
Cu 4.4784 5.6257 1.6391
Br 0.0000 3.7505 0.0000
Br 2.9856 0.0000 0.0000
```

For the magnetization, the calculation gives 0.00 μB per cell. Its mass density is 9.30 g cm⁻³. As for the space group: Cmmm. For the energy above the most stable polymorph in this dataset, the calculation gives 0 meV per atom. For the uncorrected formation energy, the calculation gives 0.462 eV per atom.

DFT (meta-GGA SCAN) results for a crystal of Ga3ReIr relaxed with PBEsol.

```
5
Lattice="4.6847 0.0000 0.0000 0.0000 4.6847 0.0000 0.0000 0.0000 4.6847" Properties=species:S:1:pos:R:3 pbc="T T T"
Ga 0.0000 0.0000 2.3424
Ga 0.0000 2.3424 0.0000
Ga 2.3424 0.0000 0.0000
Re 2.3424 2.3424 2.3424
Ir 0.0000 0.0000 0.0000
```

For the magnetization, the calculation gives 4.22 μB per cell. The formation enthalpy at 0 K comes out at 86.8 kJ per mole of atoms. Its mass density is 9.49 g cm⁻³. As for the space group: Pm-3m.

DFT (meta-GGA SCAN) results for a crystal of SrNb2CrPd relaxed with PBEsol.

```
5
Lattice="4.7666 0.0000 0.0000 0.0000 4.7666 0.0000 0.0000 0.0000 4.3774" Properties=species:S:1:pos:R:3 pbc="T T T"
Sr 0.0000 0.0000 0.0000
Nb 0.0000 2.3833 0.0000
Nb 2.3833 0.0000 0.0000
Cr 0.0000 0.0000 2.1887
Pd 2.3833 2.3833 2.1887
```

For the magnetization, the calculation gives 1.76 μB per cell. The formation enthalpy at 0 K comes out at 250.4 kJ per mole of atoms. Its mass density is 7.21 g cm⁻³. As for the space group: P4/mmm.

DFT (meta-GGA SCAN) results for a crystal of ZrSc2Tc relaxed with PBEsol.

```
8
Lattice="3.3300 0.0000 0.0000 0.0000 4.6865 0.0000 0.0000 0.0000 9.9981" Properties=species:S:1:pos:R:3 pbc="T T T"
Zr 0.0000 0.0000 0.0000
Zr 1.6650 2.3432 4.9990
Sc 0.0000 2.3432 2.1175
Sc 0.0000 2.3432 7.8805
Sc 1.6650 0.0000 2.8815
Sc 1.6650 0.0000 7.1166
Tc 0.0000 0.0000 4.9990
Tc 1.6650 2.3432 0.0000
```

For the magnetization, the calculation gives 0.04 μB per cell. The formation enthalpy at 0 K comes out at -19.7 kJ per mole of atoms. Its mass density is 5.94 g cm⁻³. As for the space group: Immm. For the energy above the most stable polymorph in this dataset, the calculation gives 8 meV per atom.

DFT (meta-GGA SCAN) results for a crystal of K2HfNi relaxed with PBEsol.

```
16
Lattice="7.7141 0.0000 0.0000 0.0000 7.7141 0.0000 0.0000 0.0000 7.7141" Properties=species:S:1:pos:R:3 pbc="T T T"
K 1.9285 1.9285 1.9285
K 1.9285 1.9285 5.7856
K 1.9285 5.7856 1.9285
K 1.9285 5.7856 5.7856
K 5.7856 1.9285 1.9285
K 5.7856 1.9285 5.7856
K 5.7856 5.7856 1.9285
K 5.7856 5.7856 5.7856
Hf 0.0000 0.0000 0.0000
Hf 0.0000 3.8570 3.8570
Hf 3.8570 0.0000 3.8570
Hf 3.8570 3.8570 0.0000
Ni 0.0000 0.0000 3.8570
Ni 0.0000 3.8570 0.0000
Ni 3.8570 0.0000 0.0000
Ni 3.8570 3.8570 3.8570
```

For the magnetization, the calculation gives 7.61 μB per cell. The formation enthalpy at 0 K comes out at 165.0 kJ per mole of atoms. Its mass density is 4.56 g cm⁻³. As for the space group: Fm-3m.

DFT (meta-GGA SCAN) results for a crystal of Ca2CeO4 relaxed with PBEsol.

```
14
Lattice="5.7774 0.0000 0.0000 0.0000 9.8328 0.0000 0.0000 0.0000 3.5031" Properties=species:S:1:pos:R:3 pbc="T T T"
Ca 0.3477 1.7540 0.0000
Ca 2.5410 6.6704 0.0000
Ca 3.2364 3.1624 0.0000
Ca 5.4297 8.0787 0.0000
Ce 0.0000 4.9164 1.7515
Ce 2.8887 0.0000 1.7515
O 0.8997 6.9217 1.7515
O 1.3900 4.5362 0.0000
O 1.4987 9.4526 0.0000
O 1.9890 2.0053 1.7515
O 3.7884 7.8274 1.7515
O 4.2787 0.3802 0.0000
O 4.3874 5.2966 0.0000
O 4.8777 2.9110 1.7515
```

For the magnetization, the calculation gives 0.00 μB per cell. Its mass density is 4.74 g cm⁻³. As for the space group: Pbam. For the energy above the most stable polymorph in this dataset, the calculation gives 0 meV per atom. For the uncorrected formation energy, the calculation gives -3.435 eV per atom.

DFT (meta-GGA SCAN) results for a crystal of CaRe2As relaxed with PBEsol.

```
4
Lattice="3.2553 0.0000 0.0000 0.0000 4.2556 0.0000 0.0000 0.0000 4.8957" Properties=species:S:1:pos:R:3 pbc="T T T"
Ca 0.0000 0.0000 0.0000
Re 0.0000 2.1278 2.4479
Re 1.6277 0.0000 2.4479
As 1.6277 2.1278 0.0000
```

For the magnetization, the calculation gives 0.00 μB per cell. The formation enthalpy at 0 K comes out at 51.3 kJ per mole of atoms. Its mass density is 11.93 g cm⁻³. As for the space group: Pmmm.

DFT (meta-GGA SCAN) results for a crystal of HfScGeCl2 relaxed with PBEsol.

```
5
Lattice="4.7139 0.0000 0.0000 0.0000 4.7139 0.0000 0.0000 0.0000 5.4616" Properties=species:S:1:pos:R:3 pbc="T T T"
Hf 0.0000 0.0000 0.0000
Sc 2.3570 2.3570 2.7308
Ge 0.0000 0.0000 2.7308
Cl 0.0000 2.3570 0.0000
Cl 2.3570 0.0000 0.0000
```

For the magnetization, the calculation gives 0.75 μB per cell. Its mass density is 5.02 g cm⁻³. As for the space group: P4/mmm. For the uncorrected formation energy, the calculation gives -0.536 eV per atom.

DFT (meta-GGA SCAN) results for a crystal of KBeAs relaxed with PBEsol.

```
6
Lattice="3.4033 0.0000 0.0000 0.0000 3.4033 0.0000 0.0000 0.0000 11.6246" Properties=species:S:1:pos:R:3 pbc="T T T"
K 0.0000 0.0000 0.0000
K 1.7016 1.7016 5.8123
Be 0.0000 0.0000 8.6952
Be 1.7016 1.7016 2.8829
As 0.0000 0.0000 3.1732
As 1.7016 1.7016 8.9855
```

For the magnetization, the calculation gives 0.00 μB per cell. The formation enthalpy at 0 K comes out at 10.7 kJ per mole of atoms. Its mass density is 3.03 g cm⁻³. As for the space group: I4mm.